[1]
CrNi2Ir: PBEsol geometry, meta-GGA SCAN.

abc: 2.577 4.359 4.383
angles: 99.98 107.14 89.98
Sites, in units of the cell vectors:
Cr 0.503 0.499 0.005
Ir 0.750 0.258 0.500
Ni 0.999 0.985 0.998
Ni 0.249 0.758 0.498

Results
Electronic total energy ... -30.47 eV per atom
Energy relative to the elements ... -0.01 eV per atom
Symmetry ... Cm, No. 8
Crystal system ... monoclinic
Total magnetization ... 0.00 μB per formula unit

[2]
BeFeP2: PBEsol geometry, meta-GGA SCAN.

abc: 3.158 4.006 4.079
angles: 90.00 90.00 113.20
Site moments in Bohr magnetons follow the coordinates.
Sites, in units of the cell vectors:
Be 0.450 0.901 0.000  -0.01
P 0.596 0.192 0.500  -0.01
P 0.157 0.314 0.000  -0.02
Fe 0.297 0.594 0.500  0.39

Results
Energy relative to the lowest polymorph listed for this composition ... 0 meV/atom
Electronic total energy ... -10.96 eV per atom
Energy relative to the elements ... -0.14 eV per atom
Symmetry ... Amm2, No. 38
Crystal system ... orthorhombic
Total magnetization ... 0.27 μB per formula unit

[3]
YCr2Br: PBEsol geometry, meta-GGA SCAN.

abc: 3.167 3.194 7.605
angles: 102.09 90.00 90.00
Site moments in Bohr magnetons follow the coordinates.
Sites, in units of the cell vectors:
Br 0.500 0.062 0.751  0.01
Cr 0.000 0.221 0.065  3.27
Cr 0.500 0.791 0.206  -2.84
Y 0.000 0.426 0.477  0.48

Results
Electronic total energy ... -21.20 eV per atom
Raw formation energy ... -17.6 kJ per mole of atoms
Symmetry ... Amm2, No. 38
Crystal system ... orthorhombic
Total magnetization ... 1.03 μB per formula unit

[4]
CaPtSe: PBEsol geometry, meta-GGA SCAN.

abc: 3.894 4.288 4.288
angles: 120.00 90.00 90.00
Sites, in units of the cell vectors:
Se 0.000 0.667 0.333
Pt 0.000 0.333 0.667
Ca 0.500 0.000 0.000

Results
Electronic total energy ... -34.55 eV per atom
Raw formation energy ... -119.7 kJ per mole of atoms
Symmetry ... P-6m2, No. 187
Crystal system ... hexagonal
Total magnetization ... 0.00 μB per formula unit

[5]
CaB2H8: PBEsol geometry, meta-GGA SCAN.

abc: 5.612 5.612 7.253
angles: 108.86 108.86 99.47
Sites, in units of the cell vectors:
H 0.334 0.065 0.932
B 0.523 0.023 0.045
H 0.315 0.084 0.432
H 0.809 0.814 0.343
B 0.273 0.273 0.545
H 0.935 0.666 0.068
H 0.598 0.867 0.932
H 0.441 0.936 0.157
H 0.471 0.466 0.657
H 0.779 0.284 0.843
H 0.064 0.559 0.843
H 0.716 0.221 0.157
H 0.916 0.685 0.568
Ca 0.500 0.500 0.000
H 0.117 0.348 0.432
H 0.534 0.529 0.343
B 0.977 0.477 0.955
H 0.133 0.402 0.068
H 0.652 0.883 0.568
H 0.186 0.191 0.657
B 0.727 0.727 0.455
Ca 0.750 0.250 0.500

Results
Energy relative to the lowest polymorph listed for this composition ... 0 meV/atom
Electronic total energy ... -5.16 eV per atom
Symmetry ... Fddd, No. 70
Crystal system ... orthorhombic
Total magnetization ... 0.00 μB per formula unit

[6]
MgSiIr2: PBEsol geometry, meta-GGA SCAN.

abc: 2.910 2.910 6.570
angles: 90.00 90.00 90.00
Sites, in units of the cell vectors:
Mg 0.500 0.500 0.000
Si 0.500 0.500 0.500
Ir 0.000 0.000 0.285
Ir 0.000 0.000 0.715

Results
Electronic total energy ... -40.04 eV per atom
Raw formation energy ... -71.4 kJ per mole of atoms
Symmetry ... P4/mmm, No. 123
Crystal system ... tetragonal
Total magnetization ... 0.00 μB per formula unit

[7]
BSbSCl2: PBEsol geometry, meta-GGA SCAN.

abc: 5.174 5.141 5.141
angles: 90.00 90.00 90.00
Site moments in Bohr magnetons follow the coordinates.
Sites, in units of the cell vectors:
Cl 0.000 0.000 0.500  0.00
B 0.500 0.500 0.500  0.06
S 0.500 0.000 0.000  -0.02
Cl 0.000 0.500 0.000  0.00
Sb 0.000 0.000 0.000  0.00

Results
Electronic total energy ... -13.32 eV per atom
Raw formation energy ... 71.0 kJ per mole of atoms
Symmetry ... P4/mmm, No. 123
Crystal system ... tetragonal
Total magnetization ... 0.10 μB per formula unit

[8]
LiY2Pd2: PBEsol geometry, meta-GGA SCAN.

abc: 5.318 5.521 5.318
angles: 61.21 90.00 118.79
Sites, in units of the cell vectors:
Y 0.750 0.500 0.750
Pd 0.340 0.680 0.660
Pd 0.660 0.320 0.340
Li 0.000 0.000 0.000
Y 0.250 0.500 0.250

Results
Energy relative to the lowest polymorph listed for this composition ... 230 meV/atom
Electronic total energy ... -25.28 eV per atom
Energy relative to the elements ... -0.56 eV per atom
Symmetry ... I4/mmm, No. 139
Crystal system ... tetragonal
Total magnetization ... 0.00 μB per formula unit

[9]
La2MgAu: PBEsol geometry, meta-GGA SCAN.

abc: 3.826 4.658 6.474
angles: 90.00 107.24 90.00
Sites, in units of the cell vectors:
La 0.032 0.000 0.938
Au 0.442 0.500 0.760
Mg 0.314 0.000 0.503
La 0.712 0.500 0.299

Results
Electronic total energy ... -40.60 eV per atom
Energy relative to the elements ... -0.51 eV per atom
Symmetry ... Amm2, No. 38
Crystal system ... orthorhombic
Total magnetization ... 0.05 μB per formula unit

[10]
Pr2ZnAg: PBEsol geometry, meta-GGA SCAN.

abc: 5.204 5.204 5.204
angles: 60.00 60.00 60.00
Site moments in Bohr magnetons follow the coordinates.
Sites, in units of the cell vectors:
Pr 0.750 0.750 0.750  0.08
Zn 0.000 0.000 0.000  0.01
Pr 0.250 0.250 0.250  0.08
Ag 0.500 0.500 0.500  0.01

Results
Electronic total energy ... -33.21 eV per atom
Energy relative to the elements ... -0.32 eV per atom
Symmetry ... Fm-3m, No. 225
Crystal system ... cubic
Total magnetization ... 0.33 μB per formula unit

[11]
Hg3RuN: PBEsol geometry, meta-GGA SCAN.

abc: 5.184 5.184 5.184
angles: 90.00 90.00 90.00
Site moments in Bohr magnetons follow the coordinates.
Sites, in units of the cell vectors:
Ru 0.000 0.000 0.000  1.39
Hg 0.000 0.000 0.500  0.03
N 0.500 0.500 0.500  1.87
Hg 0.500 0.000 0.000  0.03
Hg 0.000 0.500 0.000  0.03

Results
Electronic total energy ... -48.33 eV per atom
Raw formation energy ... 134.8 kJ per mole of atoms
Symmetry ... Pm-3m, No. 221
Crystal system ... cubic
Total magnetization ... 4.24 μB per formula unit

[12]
AlZnRh: PBEsol geometry, meta-GGA SCAN.

abc: 4.036 4.036 4.036
angles: 60.00 60.00 60.00
Sites, in units of the cell vectors:
Al 0.250 0.250 0.250
Rh 0.000 0.000 0.000
Zn 0.500 0.500 0.500

Results
Energy relative to the lowest polymorph listed for this composition ... 363 meV/atom
Electronic total energy ... -18.69 eV per atom
Energy relative to the elements ... -0.35 eV per atom
Symmetry ... F-43m, No. 216
Crystal system ... cubic
Total magnetization ... 0.00 μB per formula unit

[13]
BaTaPb2: PBEsol geometry, meta-GGA SCAN.

abc: 3.293 4.580 8.297
angles: 90.00 90.01 90.00
Sites, in units of the cell vectors:
Ta 0.375 0.000 0.311
Pb 0.875 0.000 0.025
Ba 0.375 0.500 0.775
Pb 0.875 0.500 0.389

Results
Electronic total energy ... -64.16 eV per atom
Energy relative to the elements ... 0.26 eV per atom
Symmetry ... Pmm2, No. 25
Crystal system ... orthorhombic
Total magnetization ... 0.00 μB per formula unit